Entry 1:
A geometry-optimized Ba2NaLi structure. Source: Alexandria via LeMat-Bulk, functional PBE-GGA.

```
data_Ba2NaLi
_cell_length_a 7.407
_cell_length_b 4.269
_cell_length_c 12.518
_cell_angle_alpha 90.00
_cell_angle_beta 101.54
_cell_angle_gamma 90.00
_symmetry_space_group_name_H-M 'C 1 m 1'
_symmetry_Int_Tables_number 8
loop_
_symmetry_equiv_pos_as_xyz
'x,y,z'
'x,-y,z'
'x+1/2,y+1/2,z'
'x+1/2,-y+1/2,z'
loop_
_atom_site_label
_atom_site_fract_x
_atom_site_fract_y
_atom_site_fract_z
_atom_site_occupancy
Ba1 0.000 0.000 0.000 1
Ba2 0.178 0.000 0.535 1
Na1 0.256 0.500 0.268 1
Li1 0.089 0.500 0.767 1
```

Values from the calculation:
Offset from the most stable computed form ... 0.096 eV per atom
Magnetic moment ... 0.000 μB/cell
DFT formation energy ... 0.124 eV per atom
DFT total energy ... -1.6455 eV/atom

Entry 2:
A geometry-optimized Ba3Na2Li4 structure. Source: Alexandria via LeMat-Bulk, functional PBE-GGA.

```
data_Ba3Na2Li4
_cell_length_a 13.459
_cell_length_b 5.432
_cell_length_c 10.631
_cell_angle_alpha 90.00
_cell_angle_beta 110.57
_cell_angle_gamma 90.00
_symmetry_space_group_name_H-M 'C 1 2/m 1'
_symmetry_Int_Tables_number 12
loop_
_symmetry_equiv_pos_as_xyz
'x,y,z'
'-x,-y,-z'
'-x,y,-z'
'x,-y,z'
'x+1/2,y+1/2,z'
'-x+1/2,-y+1/2,-z'
'-x+1/2,y+1/2,-z'
'x+1/2,-y+1/2,z'
loop_
_atom_site_label
_atom_site_fract_x
_atom_site_fract_y
_atom_site_fract_z
_atom_site_occupancy
Ba1 0.000 0.000 0.000 1
Ba2 0.132 0.500 0.697 1
Na1 0.170 0.500 0.334 1
Li1 0.080 0.000 0.422 1
Li2 0.232 0.500 0.061 1
```

Values from the calculation:
Magnetic moment ... 0.000 μB/cell
DFT formation energy ... 0.046 eV per atom
DFT total energy ... -1.7387 eV/atom

Entry 3:
A geometry-optimized Ba5NaLi4 structure. Source: Alexandria via LeMat-Bulk, functional PBE-GGA.

```
data_Ba5NaLi4
_cell_length_a 4.449
_cell_length_b 4.449
_cell_length_c 22.610
_cell_angle_alpha 90.00
_cell_angle_beta 90.00
_cell_angle_gamma 90.00
_symmetry_space_group_name_H-M 'P 4/m m m'
_symmetry_Int_Tables_number 123
_symmetry_space_group_name_Hall '-P 4 2'
loop_
_atom_site_label
_atom_site_fract_x
_atom_site_fract_y
_atom_site_fract_z
_atom_site_occupancy
Ba1 0.000 0.000 0.000 1
Ba2 0.000 0.000 0.194 1
Ba3 0.000 0.000 0.385 1
Na1 0.500 0.500 0.500 1
Li1 0.500 0.500 0.097 1
Li2 0.500 0.500 0.290 1
```

Values from the calculation:
Magnetic moment ... 0.001 μB/cell
DFT formation energy ... 0.040 eV per atom
DFT total energy ... -1.8187 eV/atom

Entry 4:
A geometry-optimized BaNa2Li2 structure. Source: Alexandria via LeMat-Bulk, functional PBE-GGA.

```
data_BaNa2Li2
_cell_length_a 9.669
_cell_length_b 9.669
_cell_length_c 3.806
_cell_angle_alpha 90.00
_cell_angle_beta 90.00
_cell_angle_gamma 90.00
_symmetry_space_group_name_H-M 'P 4/m b m'
_symmetry_Int_Tables_number 127
_symmetry_space_group_name_Hall '-P 4 2ab'
loop_
_atom_site_label
_atom_site_fract_x
_atom_site_fract_y
_atom_site_fract_z
_atom_site_occupancy
Ba1 0.000 0.000 0.000 1
Na1 0.124 0.376 0.000 1
Li1 0.173 0.673 0.500 1
```

Values from the calculation:
Offset from the most stable computed form ... 0.014 eV per atom
Magnetic moment ... 0.000 μB/cell
DFT formation energy ... 0.084 eV per atom
DFT total energy ... -1.5938 eV/atom

Entry 5:
A geometry-optimized Ba3Na5Li2 structure. Source: Alexandria via LeMat-Bulk, functional PBE-GGA.

```
data_Ba3Na5Li2
_cell_length_a 12.759
_cell_length_b 12.759
_cell_length_c 5.198
_cell_angle_alpha 90.00
_cell_angle_beta 90.00
_cell_angle_gamma 90.00
_symmetry_space_group_name_H-M 'P 4/m b m'
_symmetry_Int_Tables_number 127
_symmetry_space_group_name_Hall '-P 4 2ab'
loop_
_atom_site_label
_atom_site_fract_x
_atom_site_fract_y
_atom_site_fract_z
_atom_site_occupancy
Ba1 0.000 0.000 0.000 1
Ba2 0.182 0.318 0.000 1
Na1 0.000 0.500 0.500 1
Na2 0.064 0.773 0.500 1
Li1 0.106 0.606 0.000 1
```

Values from the calculation:
Offset from the most stable computed form ... 0.000 eV per atom
Magnetic moment ... 0.000 μB/cell
DFT formation energy ... 0.020 eV per atom
DFT total energy ... -1.5995 eV/atom

Entry 6:
A geometry-optimized Ba2Na12Li5 structure. Source: Alexandria via LeMat-Bulk, functional PBE-GGA.

```
data_Ba2Na12Li5
_cell_length_a 11.6730
_cell_length_b 11.6730
_cell_length_c 17.2878
_cell_angle_alpha 90.00
_cell_angle_beta 90.00
_cell_angle_gamma 120.00
_symmetry_space_group_name_H-M 'R -3 m'
_symmetry_Int_Tables_number 166
_symmetry_space_group_name_Hall '-R 3 2"'
loop_
_atom_site_label
_atom_site_fract_x
_atom_site_fract_y
_atom_site_fract_z
_atom_site_occupancy
Ba1 0.0000 0.0000 0.1625 1
Na1 0.0000 0.2855 0.5000 1
Na2 0.0136 0.5068 0.3521 1
Li1 0.0000 0.0000 0.4011 1
Li2 0.0000 0.5000 0.0000 1
```

Values from the calculation:
Magnetic moment ... 0.000 μB/cell
DFT formation energy ... 0.041 eV per atom
DFT total energy ... -1.4980 eV/atom

Entry 7:
A geometry-optimized BaNaLi structure. Source: Alexandria via LeMat-Bulk, functional PBE-GGA.

```
data_BaNaLi
_cell_length_a 5.7207
_cell_length_b 5.7207
_cell_length_c 4.4826
_cell_angle_alpha 90.00
_cell_angle_beta 90.00
_cell_angle_gamma 120.00
_symmetry_space_group_name_H-M 'P 3 m 1'
_symmetry_Int_Tables_number 156
loop_
_symmetry_equiv_pos_as_xyz
'x,y,z'
'-y,x-y,z'
'-x+y,-x,z'
'-y,-x,z'
'-x+y,y,z'
'x,x-y,z'
loop_
_atom_site_label
_atom_site_fract_x
_atom_site_fract_y
_atom_site_fract_z
_atom_site_occupancy
Ba1 0.0000 0.0000 0.0000 1
Na1 0.3333 0.6667 0.5013 1
Li1 0.6667 0.3333 0.4987 1
```

Values from the calculation:
Offset from the most stable computed form ... 0.030 eV per atom
Magnetic moment ... 0.000 μB/cell
DFT formation energy ... 0.056 eV per atom
DFT total energy ... -1.6627 eV/atom

Entry 8:
A geometry-optimized BaNa10Li structure. Source: Alexandria via LeMat-Bulk, functional PBE-GGA.

```
data_BaNa10Li
_cell_length_a 5.954
_cell_length_b 6.749
_cell_length_c 12.098
_cell_angle_alpha 90.00
_cell_angle_beta 90.00
_cell_angle_gamma 90.00
_symmetry_space_group_name_H-M 'P m m m'
_symmetry_Int_Tables_number 47
loop_
_symmetry_equiv_pos_as_xyz
'x,y,z'
'-x,-y,-z'
'-x,-y,z'
'x,y,-z'
'x,-y,-z'
'-x,y,z'
'-x,y,-z'
'x,-y,z'
loop_
_atom_site_label
_atom_site_fract_x
_atom_site_fract_y
_atom_site_fract_z
_atom_site_occupancy
Ba1 0.000 0.000 0.000 1
Na1 0.000 0.000 0.348 1
Na2 0.000 0.500 0.193 1
Na3 0.500 0.000 0.500 1
Na4 0.500 0.248 0.251 1
Na5 0.500 0.500 0.000 1
Li1 0.000 0.500 0.500 1
```

Values from the calculation:
Magnetic moment ... 0.000 μB/cell
DFT formation energy ... 0.082 eV per atom
DFT total energy ... -1.3368 eV/atom

Entry 9:
A geometry-optimized BaNaLi structure. Source: Alexandria via LeMat-Bulk, functional PBE-GGA.

```
data_BaNaLi
_cell_length_a 8.282
_cell_length_b 8.282
_cell_length_c 8.282
_cell_angle_alpha 90.00
_cell_angle_beta 90.00
_cell_angle_gamma 90.00
_symmetry_space_group_name_H-M 'F -4 3 m'
_symmetry_Int_Tables_number 216
_symmetry_space_group_name_Hall 'F -4 2 3'
loop_
_atom_site_label
_atom_site_fract_x
_atom_site_fract_y
_atom_site_fract_z
_atom_site_occupancy
Ba1 0.000 0.000 0.000 1
Na1 0.000 0.000 0.500 1
Li1 0.250 0.250 0.250 1
```

Values from the calculation:
Offset from the most stable computed form ... 0.157 eV per atom
Magnetic moment ... 0.000 μB/cell
DFT formation energy ... 0.183 eV per atom
DFT total energy ... -1.5356 eV/atom

Entry 10:
A geometry-optimized BaNa6Li2 structure. Source: Alexandria via LeMat-Bulk, functional PBE-GGA.

```
data_BaNa6Li2
_cell_length_a 5.148
_cell_length_b 5.148
_cell_length_c 12.560
_cell_angle_alpha 90.00
_cell_angle_beta 90.00
_cell_angle_gamma 90.00
_symmetry_space_group_name_H-M 'P 4/m m m'
_symmetry_Int_Tables_number 123
_symmetry_space_group_name_Hall '-P 4 2'
loop_
_atom_site_label
_atom_site_fract_x
_atom_site_fract_y
_atom_site_fract_z
_atom_site_occupancy
Ba1 0.000 0.000 0.000 1
Na1 0.000 0.000 0.500 1
Na2 0.000 0.500 0.283 1
Na3 0.500 0.500 0.500 1
Li1 0.500 0.500 0.117 1
```

Values from the calculation:
Magnetic moment ... 0.000 μB/cell
DFT formation energy ... 0.031 eV per atom
DFT total energy ... -1.4878 eV/atom

Entry 11:
A geometry-optimized BaNa3Li8 structure. Source: Alexandria via LeMat-Bulk, functional PBE-GGA.

```
data_BaNa3Li8
_cell_length_a 6.1580
_cell_length_b 6.1580
_cell_length_c 31.0494
_cell_angle_alpha 90.00
_cell_angle_beta 90.00
_cell_angle_gamma 120.00
_symmetry_space_group_name_H-M 'R 3 m'
_symmetry_Int_Tables_number 160
_symmetry_space_group_name_Hall 'R 3 -2"'
loop_
_atom_site_label
_atom_site_fract_x
_atom_site_fract_y
_atom_site_fract_z
_atom_site_occupancy
Ba1 0.0000 0.0000 0.0000 1
Na1 0.0000 0.0000 0.3835 1
Na2 0.0000 0.0000 0.5011 1
Na3 0.0000 0.0000 0.8720 1
Li1 0.0000 0.0000 0.1875 1
Li2 0.0000 0.0000 0.6892 1
Li3 0.0023 0.5011 0.4403 1
Li4 0.1679 0.3357 0.2671 1
```

Values from the calculation:
Magnetic moment ... 0.000 μB/cell
DFT formation energy ... 0.039 eV per atom
DFT total energy ... -1.7264 eV/atom

Entry 12:
A geometry-optimized Ba3Na7Li2 structure. Source: Alexandria via LeMat-Bulk, functional PBE-GGA.

```
data_Ba3Na7Li2
_cell_length_a 7.1922
_cell_length_b 7.1922
_cell_length_c 33.1163
_cell_angle_alpha 90.00
_cell_angle_beta 90.00
_cell_angle_gamma 120.00
_symmetry_space_group_name_H-M 'R -3 m'
_symmetry_Int_Tables_number 166
_symmetry_space_group_name_Hall '-R 3 2"'
loop_
_atom_site_label
_atom_site_fract_x
_atom_site_fract_y
_atom_site_fract_z
_atom_site_occupancy
Ba1 0.0000 0.0000 0.0000 1
Ba2 0.0000 0.0000 0.1419 1
Na1 0.0000 0.0000 0.5000 1
Na2 0.0028 0.5014 0.9227 1
Li1 0.0000 0.0000 0.3331 1
```

Values from the calculation:
Magnetic moment ... 0.000 μB/cell
DFT formation energy ... 0.021 eV per atom
DFT total energy ... -1.5486 eV/atom

Please write out number 12 again, unchanged.
A geometry-optimized Ba3Na7Li2 structure. Source: Alexandria via LeMat-Bulk, functional PBE-GGA.

```
data_Ba3Na7Li2
_cell_length_a 7.1922
_cell_length_b 7.1922
_cell_length_c 33.1163
_cell_angle_alpha 90.00
_cell_angle_beta 90.00
_cell_angle_gamma 120.00
_symmetry_space_group_name_H-M 'R -3 m'
_symmetry_Int_Tables_number 166
_symmetry_space_group_name_Hall '-R 3 2"'
loop_
_atom_site_label
_atom_site_fract_x
_atom_site_fract_y
_atom_site_fract_z
_atom_site_occupancy
Ba1 0.0000 0.0000 0.0000 1
Ba2 0.0000 0.0000 0.1419 1
Na1 0.0000 0.0000 0.5000 1
Na2 0.0028 0.5014 0.9227 1
Li1 0.0000 0.0000 0.3331 1
```

Values from the calculation:
Magnetic moment ... 0.000 μB/cell
DFT formation energy ... 0.021 eV per atom
DFT total energy ... -1.5486 eV/atom